(1)
Entry from Alexandria: LiCa2Cd after structural relaxation (GGA-PBE).

## Properties
For the calculated formation energy, the calculation gives 51 meV/atom. The calculation puts the energy above the most stable polymorph in this dataset at 0.243 eV per atom.

Cell: 8.5847 8.5847 6.9839 Å, 52.08 52.08 90.00°
Positions (direct):
1 Li 0.5000 0.5000 0.0000
2 Li 0.2500 0.7500 0.5000
3 Ca 0.1220 0.6250 0.2500
4 Ca 0.3750 0.3720 0.7500
5 Ca 0.8750 0.8780 0.7500
6 Cd 0.0000 0.0000 0.0000
7 Cd 0.7500 0.2500 0.5000
8 Ca 0.6280 0.1250 0.2500

=====

(2)
Entry from Alexandria: CrSb after structural relaxation (GGA-PBE).

## Properties
The formation energy from raw total energies comes out at 0.39 eV per atom.

Cell: 4.6998 4.6998 5.3824 Å, 90.00 90.00 120.00°
Positions (direct):
1 Cr 0.3333 0.6667 0.2500
2 Sb 0.3333 0.6667 0.7500
3 Cr 0.6667 0.3333 0.7500
4 Sb 0.6667 0.3333 0.2500

=====

(3)
Entry from Alexandria: TbYPd after structural relaxation (GGA-PBE).

## Properties
For the calculated formation energy, the calculation gives -542 meV/atom. The calculation puts the energy above the most stable polymorph in this dataset at 0.026 eV per atom.

Cell: 3.5620 3.5620 6.6372 Å, 105.57 105.57 90.00°
Positions (direct):
1 Pd 0.6661 0.6661 0.3322
2 Y 0.3045 0.3045 0.6091
3 Tb 0.0294 0.0294 0.0587

=====

(4)
Entry from Alexandria: Rb3SeBr after structural relaxation (GGA-PBE).

## Properties
The calculation puts the energy above the most stable polymorph in this dataset at 0.099 eV per atom. The formation energy from raw total energies comes out at -1.16 eV per atom.

Cell: 6.5150 6.5150 6.5150 Å, 90.00 90.00 90.00°
Positions (direct):
1 Rb 0.5000 0.0000 0.0000
2 Br 0.5000 0.5000 0.5000
3 Rb 0.0000 0.0000 0.5000
4 Rb 0.0000 0.5000 0.0000
5 Se 0.0000 0.0000 0.0000

=====

(5)
Entry from Alexandria: SrBPtO5 after structural relaxation (GGA-PBE).

## Properties
The formation energy from raw total energies comes out at -1.63 eV per atom.

Cell: 5.5036 5.5036 7.0623 Å, 104.63 104.63 107.20°
Positions (direct):
1 O 0.9155 0.0845 0.7500
2 O 0.5845 0.7655 0.9087
3 O 0.2345 0.4155 0.5913
4 Pt 0.0000 0.0000 0.5000
5 B 0.7013 0.2987 0.2500
6 O 0.8849 0.3117 0.1308
7 Sr 0.3514 0.6486 0.2500
8 O 0.0845 0.9155 0.2500
9 O 0.3117 0.8849 0.6308
10 O 0.7655 0.5845 0.4087
11 Pt 0.0000 0.0000 0.0000
12 O 0.1151 0.6883 0.8692
13 O 0.6883 0.1151 0.3692
14 Sr 0.6486 0.3514 0.7500
15 O 0.4155 0.2345 0.0913
16 B 0.2987 0.7013 0.7500

=====

(6)
Entry from Alexandria: BaAl2S4 after structural relaxation (GGA-PBE).

## Properties
The formation energy from raw total energies comes out at -1.50 eV per atom.

Cell: 5.9642 6.3030 11.1525 Å, 90.00 90.00 118.24°
Positions (direct):
1 S 0.0000 0.5000 0.1544
2 S 0.8321 0.1915 0.5000
3 S 0.5000 0.5000 0.3456
4 Al 0.2424 0.4831 0.5000
5 Ba 0.5000 0.0000 0.2500
6 S 0.1679 0.8085 0.5000
7 S 0.5000 0.5000 0.6544
8 S 0.3594 0.1915 0.0000
9 Ba 0.5000 0.0000 0.7500
10 Al 0.2407 0.4831 0.0000
11 Al 0.7576 0.5169 0.5000
12 S 0.6406 0.8085 0.0000
13 Al 0.7593 0.5169 0.0000
14 S 0.0000 0.5000 0.8456

=====

(7)
Entry from Alexandria: LiLaNpS3 after structural relaxation (GGA-PBE).

## Properties
The formation energy from raw total energies comes out at -1.61 eV per atom.

Cell: 3.9327 8.2114 8.5658 Å, 102.76 90.00 90.00°
Positions (direct):
1 Np 0.7500 0.3377 0.8366
2 S 0.7500 0.4281 0.1690
3 S 0.7500 0.8984 0.1365
4 Li 0.7500 0.9122 0.4162
5 S 0.2500 0.5719 0.8310
6 Np 0.2500 0.6623 0.1634
7 La 0.2500 0.1818 0.2194
8 Li 0.2500 0.0878 0.5838
9 S 0.2500 0.1016 0.8635
10 S 0.7500 0.2114 0.5001
11 S 0.2500 0.7886 0.4999
12 La 0.7500 0.8182 0.7806

=====

(8)
Entry from Alexandria: Co4SiSb after structural relaxation (GGA-PBE).

## Properties
The formation energy from raw total energies comes out at 0.27 eV per atom.

Cell: 4.7899 4.7899 4.7899 Å, 60.00 60.00 60.00°
Positions (direct):
1 Co 0.8767 0.3744 0.3744
2 Sb 0.7500 0.7500 0.7500
3 Si 0.0000 0.0000 0.0000
4 Co 0.3744 0.3744 0.3744
5 Co 0.3744 0.3744 0.8767
6 Co 0.3744 0.8767 0.3744

=====

(9)
Entry from Alexandria: Ta2AgRu after structural relaxation (GGA-PBE).

## Properties
For the calculated formation energy, the calculation gives 149 meV/atom. The calculation puts the energy above the most stable polymorph in this dataset at 0.102 eV per atom.

Cell: 4.9623 4.9623 4.8938 Å, 77.44 77.44 35.29°
Positions (direct):
1 Ru 0.2554 0.2554 0.2356
2 Ta 0.9923 0.9923 0.0240
3 Ta 0.7478 0.7478 0.7342
4 Ag 0.5045 0.5045 0.5062

=====

(10)
Entry from Alexandria: La2DyTm3As6 after structural relaxation (GGA-PBE).

## Properties
For the calculated formation energy, the calculation gives -1514 meV/atom.

Cell: 4.1836 8.3560 9.3393 Å, 102.84 102.94 90.00°
Positions (direct):
1 Tm 0.1670 0.8343 0.3340
2 La 0.8348 0.6691 0.6695
3 As 0.6668 0.0715 0.3337
4 Tm 0.5000 0.5000 0.0000
5 Tm 0.8330 0.1657 0.6660
6 Dy 0.5000 0.0000 0.0000
7 As 0.3332 0.9285 0.6663
8 As 0.9957 0.2496 0.9913
9 As 0.3371 0.4071 0.6743
10 La 0.1652 0.3309 0.3305
11 As 0.0043 0.7504 0.0087
12 As 0.6629 0.5929 0.3257

=====

(11)
Entry from Alexandria: Zn2SiAu after structural relaxation (GGA-PBE).

## Properties
The formation energy from raw total energies comes out at 0.06 eV per atom.

Cell: 4.6705 4.6705 3.2280 Å, 90.00 90.00 113.83°
Positions (direct):
1 Zn 0.0000 0.0000 0.0000
2 Zn 0.5000 0.5000 0.0000
3 Au 0.5000 0.0000 0.5000
4 Si 0.0000 0.5000 0.5000

=====

(12)
Entry from Alexandria: Zr4Sc after structural relaxation (GGA-PBE).

## Properties
For the calculated formation energy, the calculation gives 30 meV/atom. The calculation puts the energy above the most stable polymorph in this dataset at 0.010 eV per atom.

Cell: 4.4815 5.5611 5.5611 Å, 99.34 113.76 66.24°
Positions (direct):
1 Sc 0.0000 0.0000 0.0000
2 Zr 0.2008 0.1994 0.6011
3 Zr 0.7992 0.8006 0.3989
4 Zr 0.4002 0.3989 0.1994
5 Zr 0.5998 0.6011 0.8006

=====

(13)
Entry from Alexandria: CuSiMo2 after structural relaxation (GGA-PBE).

## Properties
The formation energy from raw total energies comes out at 0.04 eV per atom.

Cell: 5.4631 4.8348 2.6859 Å, 83.67 72.76 118.86°
Positions (direct):
1 Si 0.0000 0.5000 0.5000
2 Mo 0.0000 0.0000 0.0000
3 Mo 0.5000 0.0000 0.5000
4 Cu 0.5000 0.5000 0.0000

=====

| no. | Fermi-level density of states (states/eV/f.u.) |
| --- | --- |
| 1 | 2.5 |
| 2 | 1.0 |
| 3 | 2.8 |
| 4 | 0.0 |
| 5 | 3.9 |
| 6 | 0.0 |
| 7 | 11.4 |
| 8 | 8.5 |
| 9 | 3.4 |
| 10 | 1.7 |
| 11 | 1.3 |
| 12 | 7.7 |
| 13 | 2.6 |